This record from Alexandria via LeMat-Bulk describes crystalline Fe2P at its relaxed geometry. The functional is PBE.

Properties
- N(E_F): 2.05 states/eV/f.u.
- E_form: -0.050 eV per atom
- DFT total energy: -7.495 eV/atom
- Total magnetization: 11.45 Bohr magnetons per cell

Cell lengths 5.304, 5.304, 5.304 Å; angles 90.00, 90.00, 90.00 degrees
Space group Pa-3 (No. 205)
Inequivalent atoms, fractional coordinates:
1 Fe 0.139 0.139 0.139 x8
2 P 0.000 0.000 0.500 x4